{
  "formula": "LaSeO",
  "functional": "GGA-PBE",
  "state": "optimized geometry",
  "e_form_raw_ev_per_fu": -6.46,
  "cell": [[4.021, 0.000, 0.000], [1.833, 3.656, 0.000], [0.253, 1.351, 4.584]],
  "species": ["La", "Se", "O"],
  "fractional_positions": [[0.000, 0.000, 0.000], [0.531, 0.788, 0.526], [0.360, 0.336, 0.023]]
}

{
  "formula": "PuZn5Au4",
  "functional": "GGA-PBE",
  "state": "optimized geometry",
  "e_form_ev_per_atom": -0.193,
  "cell": [[3.230, 0.000, 0.000], [0.000, 3.230, 0.000], [0.000, 0.000, 16.615]],
  "species": ["Pu", "Zn", "Zn", "Zn", "Zn", "Zn", "Au", "Au", "Au", "Au"],
  "fractional_positions": [[0.000, 0.000, 0.000], [0.500, 0.500, 0.127], [0.500, 0.500, 0.312], [0.500, 0.500, 0.500], [0.500, 0.500, 0.688], [0.500, 0.500, 0.873], [0.000, 0.000, 0.217], [0.000, 0.000, 0.406], [0.000, 0.000, 0.594], [0.000, 0.000, 0.783]]
}